Record 1
! FeN GGA-PBE relaxed; values from VASP
! E	-8.26	eV per atom
! volume	7.99	Å³/atom
! space-group type	P6_3/mmc (194)
&SYSTEM
  ibrav = 0, nat = 4, ntyp = 2
/
ATOMIC_SPECIES
Fe 55.84 Fe.upf
N 14.01 N.upf
CELL_PARAMETERS angstrom
2.7229 0.0000 0.0000
-1.3614 2.3581 0.0000
0.0000 0.0000 4.9739
ATOMIC_POSITIONS angstrom
Fe 0.0000 0.0000 0.0000
Fe 0.0000 0.0000 2.4869
N 0.0000 1.5721 1.2435
N 1.3614 0.7860 3.7304


Record 2
! FeN GGA-PBE relaxed; values from VASP
! E	-8.44	eV per atom
! volume	9.36	Å³/atom
! space-group type	Pmn2_1 (31)
&SYSTEM
  ibrav = 0, nat = 4, ntyp = 2
/
ATOMIC_SPECIES
Fe 55.84 Fe.upf
N 14.01 N.upf
CELL_PARAMETERS angstrom
2.9665 0.0000 0.0000
0.0000 2.9783 0.0000
0.0000 0.0000 4.2366
ATOMIC_POSITIONS angstrom
Fe 0.0000 0.7420 0.0000
Fe 1.4832 2.2362 2.1183
N 0.0000 2.2315 3.1810
N 1.4832 0.7468 1.0627


Record 3
! FeN GGA-PBE relaxed; values from VASP
! E	-8.13	eV per atom
! volume	9.42	Å³/atom
! space-group type	P6_3/mmc (194)
&SYSTEM
  ibrav = 0, nat = 4, ntyp = 2
/
ATOMIC_SPECIES
Fe 55.84 Fe.upf
N 14.01 N.upf
CELL_PARAMETERS angstrom
3.3140 0.0000 0.0000
-1.6570 2.8700 0.0000
0.0000 0.0000 3.9637
ATOMIC_POSITIONS angstrom
Fe 0.0000 1.9133 0.9909
Fe 1.6570 0.9567 2.9728
N 0.0000 1.9133 2.9728
N 1.6570 0.9567 0.9909


Record 4
! FeN GGA-PBE relaxed; values from VASP
! E	-8.44	eV per atom
! volume	9.37	Å³/atom
! space-group type	P3_1 (144)
&SYSTEM
  ibrav = 0, nat = 6, ntyp = 2
/
ATOMIC_SPECIES
Fe 55.84 Fe.upf
N 14.01 N.upf
CELL_PARAMETERS angstrom
2.9818 0.0000 0.0000
-1.4909 2.5823 0.0000
0.0000 0.0000 7.2982
ATOMIC_POSITIONS angstrom
Fe -0.9947 1.7283 0.0000
Fe 0.4915 0.8567 2.4327
Fe 0.5032 2.5796 4.8655
N -0.9870 1.7190 5.4738
N 0.4957 0.8680 0.6084
N 0.4913 2.5775 3.0411


Record 5
! Fe7N3 GGA-PBE relaxed; values from VASP
! E	-8.13	eV per atom
! volume	9.33	Å³/atom
! space-group type	C2/m (12)
! energy relative to the lowest polymorph listed for this composition	157	meV/atom
&SYSTEM
  ibrav = 0, nat = 10, ntyp = 2
/
ATOMIC_SPECIES
Fe 55.84 Fe.upf
N 14.01 N.upf
CELL_PARAMETERS angstrom
4.2035 -1.2957 0.0000
4.2035 1.2957 0.0000
-1.9900 0.0000 8.5623
ATOMIC_POSITIONS angstrom
Fe 0.0000 0.0000 0.0000
Fe 0.0029 0.0000 2.4697
Fe 0.2263 0.0000 4.9598
Fe 2.2440 0.0000 1.2920
Fe 4.1731 0.0000 7.2703
Fe 6.1907 0.0000 3.6025
Fe 6.4141 0.0000 6.0927
N 1.4682 0.0000 7.2545
N 3.2085 0.0000 4.2812
N 4.9488 0.0000 1.3078


Record 6
! FeN2 GGA-PBE relaxed; values from VASP
! E	-5.89	eV per atom
! volume	8.55	Å³/atom
! space-group type	Fd-3m (227)
&SYSTEM
  ibrav = 0, nat = 6, ntyp = 2
/
ATOMIC_SPECIES
Fe 55.84 Fe.upf
N 14.01 N.upf
CELL_PARAMETERS angstrom
0.0000 2.9487 2.9487
2.9487 0.0000 2.9487
2.9487 2.9487 0.0000
ATOMIC_POSITIONS angstrom
Fe 0.7372 0.7372 0.7372
Fe 5.1602 5.1602 5.1602
N 2.9487 1.4744 1.4744
N 1.4744 2.9487 1.4744
N 1.4744 1.4744 2.9487
N 2.9487 2.9487 2.9487


Record 7
! Fe7N3 GGA-PBE relaxed; values from VASP
! E	-8.29	eV per atom
! volume	9.44	Å³/atom
! space-group type	Amm2 (38)
! energy relative to the lowest polymorph listed for this composition	1	meV/atom
&SYSTEM
  ibrav = 0, nat = 10, ntyp = 2
/
ATOMIC_SPECIES
Fe 55.84 Fe.upf
N 14.01 N.upf
CELL_PARAMETERS angstrom
2.6904 0.0000 0.0000
0.0000 7.2341 2.4258
0.0000 -7.2341 2.4258
ATOMIC_POSITIONS angstrom
Fe 0.0000 0.0000 0.0000
Fe 0.0000 -4.0723 3.4196
Fe 0.0000 4.0723 3.4196
Fe 1.3452 -1.1973 1.8194
Fe 1.3452 1.1973 1.8194
Fe 1.3452 -1.9672 4.1196
Fe 1.3452 1.9672 4.1196
N 0.0000 -2.3082 2.6930
N 0.0000 2.3082 2.6930
N 1.3452 0.0000 3.5217


Record 8
! FeN GGA-PBE relaxed; values from VASP
! E	-7.59	eV per atom
! volume	8.22	Å³/atom
! space-group type	Cmmm (65)
&SYSTEM
  ibrav = 0, nat = 2, ntyp = 2
/
ATOMIC_SPECIES
Fe 55.84 Fe.upf
N 14.01 N.upf
CELL_PARAMETERS angstrom
1.7911 -1.8047 0.0000
1.7911 1.8047 0.0000
0.0000 0.0000 2.5422
ATOMIC_POSITIONS angstrom
Fe 0.0000 0.0000 0.0000
N 1.7911 0.0000 1.2711


Record 9
! Fe7N3 GGA-PBE relaxed; values from VASP
! E	-8.29	eV per atom
! volume	9.32	Å³/atom
! space-group type	Cmc2_1 (36)
! energy relative to the lowest polymorph listed for this composition	0	meV/atom
&SYSTEM
  ibrav = 0, nat = 20, ntyp = 2
/
ATOMIC_SPECIES
Fe 55.84 Fe.upf
N 14.01 N.upf
CELL_PARAMETERS angstrom
8.1894 -2.3084 0.0000
8.1894 2.3084 0.0000
0.0000 0.0000 4.9311
ATOMIC_POSITIONS angstrom
Fe 2.2458 0.3342 3.5910
Fe 8.1894 1.9671 2.4655
Fe 4.6809 0.4888 2.8300
Fe 2.2458 -0.3342 1.1254
Fe 6.9754 0.3535 4.3233
Fe 4.6809 -0.4888 0.3645
Fe 9.4033 0.3535 4.3233
Fe 6.9754 -0.3535 1.8577
Fe 11.6978 0.4888 2.8300
Fe 9.4033 -0.3535 1.8577
Fe 14.1329 0.3342 3.5910
Fe 11.6978 -0.4888 0.3645
Fe 8.1894 -1.9671 0.0000
Fe 14.1329 -0.3342 1.1254
N 5.2318 1.1482 4.5237
N 8.1894 0.8443 0.8924
N 11.1469 1.1482 4.5237
N 5.2318 -1.1482 2.0582
N 8.1894 -0.8443 3.3579
N 11.1469 -1.1482 2.0582


Record 10
! FeN2 GGA-PBE relaxed; values from VASP
! E	-7.62	eV per atom
! volume	19.42	Å³/atom
! space-group type	Fd-3m (227)
&SYSTEM
  ibrav = 0, nat = 6, ntyp = 2
/
ATOMIC_SPECIES
Fe 55.84 Fe.upf
N 14.01 N.upf
CELL_PARAMETERS angstrom
0.0000 3.8767 3.8767
3.8767 0.0000 3.8767
3.8767 3.8767 0.0000
ATOMIC_POSITIONS angstrom
Fe 0.9692 0.9692 0.9692
Fe 6.7842 6.7842 6.7842
N 0.0000 0.0000 0.0000
N 1.9383 1.9383 0.0000
N 1.9383 0.0000 1.9383
N 0.0000 1.9383 1.9383


Record 11
! Fe3N2 GGA-PBE relaxed; values from VASP
! E	-8.20	eV per atom
! volume	8.53	Å³/atom
! space-group type	Pnma (62)
&SYSTEM
  ibrav = 0, nat = 20, ntyp = 2
/
ATOMIC_SPECIES
Fe 55.84 Fe.upf
N 14.01 N.upf
CELL_PARAMETERS angstrom
5.7145 0.0000 0.0000
0.0000 2.6700 0.0000
0.0000 0.0000 11.1796
ATOMIC_POSITIONS angstrom
Fe 0.2825 0.6675 1.0896
Fe 0.8689 2.0025 4.8211
Fe 0.9159 0.6675 8.1878
Fe 1.9413 2.0025 2.5980
Fe 1.9883 0.6675 10.4108
Fe 2.5747 2.0025 6.6794
Fe 3.1398 0.6675 4.5002
Fe 3.7262 2.0025 0.7687
Fe 3.7731 0.6675 8.5815
Fe 4.7986 2.0025 2.9918
Fe 4.8455 0.6675 6.3585
Fe 5.4319 2.0025 10.0900
N 0.5712 0.6675 3.2572
N 1.2140 0.6675 6.2216
N 1.6432 2.0025 0.6318
N 2.2860 2.0025 8.8470
N 3.4285 0.6675 2.3326
N 4.0713 0.6675 10.5477
N 4.5004 2.0025 4.9579
N 5.1432 2.0025 7.9223


Record 12
! NaFeN GGA-PBE relaxed; values from VASP
! E	-6.07	eV per atom
! volume	14.64	Å³/atom
! space-group type	C2/m (12)
! energy relative to the lowest polymorph listed for this composition	0	meV/atom
&SYSTEM
  ibrav = 0, nat = 6, ntyp = 3
/
ATOMIC_SPECIES
Na 22.99 Na.upf
Fe 55.84 Fe.upf
N 14.01 N.upf
CELL_PARAMETERS angstrom
5.6546 -1.7586 0.0000
5.6546 1.7586 0.0000
-2.0956 0.0000 4.4158
ATOMIC_POSITIONS angstrom
Na 0.3814 0.0000 1.5308
Na 8.8322 0.0000 2.8849
Fe 3.5220 0.0000 0.3422
Fe 5.6916 0.0000 4.0735
N -0.2410 0.0000 3.9378
N 9.4546 0.0000 0.4780


E of number 1 (FeN)? -8.26 eV per atom


The lowest volume belongs to which entry? number 1